1.
DFT (GGA-PBE) results for crystalline AcHo2Te at its relaxed geometry.

## Properties
Its energy relative to the lowest polymorph listed for this composition is 3 meV/atom. Its uncorrected formation energy is -0.533 eV/atom.

CIF file:
```
data_AcHo2Te
_space_group_name_H-M_alt 'P 4/m m m'
_space_group_IT_number 123
_space_group_name_Hall '-P 4 2'
_cell_length_a 3.8702
_cell_length_b 3.8702
_cell_length_c 8.3983
_cell_angle_alpha 90.00
_cell_angle_beta 90.00
_cell_angle_gamma 90.00
loop_
_atom_site_label
_atom_site_type_symbol
_atom_site_fract_x
_atom_site_fract_y
_atom_site_fract_z
Ac1 Ac 0.0000 0.0000 0.0000
Ho1 Ho 0.5000 0.5000 0.2907
Te1 Te 0.0000 0.0000 0.5000
```

2.
DFT (GGA-PBE) results for crystalline Ac4HoTe7 at its relaxed geometry.

## Properties
Its uncorrected formation energy is -1.527 eV/atom.

CIF file:
```
data_Ac4HoTe7
_space_group_name_H-M_alt 'C 1 m 1'
_space_group_IT_number 8
_space_group_name_Hall 'C -2y'
_cell_length_a 15.3806
_cell_length_b 4.5607
_cell_length_c 13.5573
_cell_angle_alpha 90.00
_cell_angle_beta 104.95
_cell_angle_gamma 90.00
loop_
_atom_site_label
_atom_site_type_symbol
_atom_site_fract_x
_atom_site_fract_y
_atom_site_fract_z
Ac1 Ac 0.0000 0.0000 0.0000
Ac2 Ac 0.1000 0.0000 0.4485
Ac3 Ac 0.2014 0.5000 0.8213
Ac4 Ac 0.3049 0.0000 0.2179
Ho1 Ho 0.3730 0.5000 0.5809
Te1 Te 0.0339 0.0000 0.7692
Te2 Te 0.1622 0.5000 0.0639
Te3 Te 0.2285 0.5000 0.3716
Te4 Te 0.2696 0.0000 0.6628
Te5 Te 0.3383 0.0000 0.9660
Te6 Te 0.4571 0.0000 0.4858
Te7 Te 0.4619 0.5000 0.2246
```

3.
DFT (GGA-PBE) results for crystalline AcHo6Te8 at its relaxed geometry.

## Properties
Its uncorrected formation energy is -1.181 eV/atom.

CIF file:
```
data_AcHo6Te8
_space_group_name_H-M_alt 'R -3'
_space_group_IT_number 148
_space_group_name_Hall '-R 3'
_cell_length_a 10.1271
_cell_length_b 10.1271
_cell_length_c 16.6501
_cell_angle_alpha 90.00
_cell_angle_beta 90.00
_cell_angle_gamma 120.00
loop_
_atom_site_label
_atom_site_type_symbol
_atom_site_fract_x
_atom_site_fract_y
_atom_site_fract_z
Ac1 Ac 0.0000 0.0000 0.0000
Ho1 Ho 0.0317 0.2399 0.4080
Te1 Te 0.0000 0.0000 0.2852
Te2 Te 0.0167 0.7177 0.0906
```

4.
DFT (GGA-PBE) results for crystalline AcHo4Te8 at its relaxed geometry.

## Properties
Its uncorrected formation energy is -1.331 eV/atom.

CIF file:
```
data_AcHo4Te8
_space_group_name_H-M_alt 'R -3 m'
_space_group_IT_number 166
_space_group_name_Hall '-R 3 2"'
_cell_length_a 8.6002
_cell_length_b 8.6002
_cell_length_c 23.5818
_cell_angle_alpha 90.00
_cell_angle_beta 90.00
_cell_angle_gamma 120.00
loop_
_atom_site_label
_atom_site_type_symbol
_atom_site_fract_x
_atom_site_fract_y
_atom_site_fract_z
Ac1 Ac 0.0000 0.0000 0.0000
Ho1 Ho 0.0000 0.0000 0.5000
Ho2 Ho 0.0000 0.5000 0.5000
Te1 Te 0.0000 0.0000 0.2422
Te2 Te 0.0065 0.5032 0.2438
```

5.
DFT (GGA-PBE) results for crystalline Ac2HoTe5 at its relaxed geometry.

## Properties
Its uncorrected formation energy is -1.280 eV/atom.

CIF file:
```
data_Ac2HoTe5
_space_group_name_H-M_alt 'C m c m'
_space_group_IT_number 63
_space_group_name_Hall '-C 2c 2'
_cell_length_a 6.4323
_cell_length_b 16.1871
_cell_length_c 14.1638
_cell_angle_alpha 90.00
_cell_angle_beta 90.00
_cell_angle_gamma 90.00
loop_
_atom_site_label
_atom_site_type_symbol
_atom_site_fract_x
_atom_site_fract_y
_atom_site_fract_z
Ac1 Ac 0.0000 0.1529 0.0663
Ho1 Ho 0.0000 0.1984 0.7500
Te1 Te 0.0000 0.0404 0.6323
Te2 Te 0.0000 0.2804 0.2500
Te3 Te 0.0000 0.3131 0.5813
```

6.
DFT (GGA-PBE) results for crystalline Ac3HoTe4 at its relaxed geometry.

## Properties
Its uncorrected formation energy is -1.406 eV/atom.

CIF file:
```
data_Ac3HoTe4
_space_group_name_H-M_alt 'C m m m'
_space_group_IT_number 65
_space_group_name_Hall '-C 2 2'
_cell_length_a 9.4745
_cell_length_b 13.1194
_cell_length_c 4.5404
_cell_angle_alpha 90.00
_cell_angle_beta 90.00
_cell_angle_gamma 90.00
loop_
_atom_site_label
_atom_site_type_symbol
_atom_site_fract_x
_atom_site_fract_y
_atom_site_fract_z
Ac1 Ac 0.0000 0.0000 0.0000
Ac2 Ac 0.2500 0.2500 0.5000
Ho1 Ho 0.0000 0.5000 0.0000
Te1 Te 0.0000 0.2606 0.0000
Te2 Te 0.2297 0.5000 0.5000
```

7.
DFT (GGA-PBE) results for crystalline AcHo3Te6 at its relaxed geometry.

## Properties
Its uncorrected formation energy is -1.442 eV/atom.

CIF file:
```
data_AcHo3Te6
_space_group_name_H-M_alt 'P 1 21/m 1'
_space_group_IT_number 11
_space_group_name_Hall '-P 2yb'
_cell_length_a 12.5848
_cell_length_b 4.4638
_cell_length_c 12.9322
_cell_angle_alpha 90.00
_cell_angle_beta 109.27
_cell_angle_gamma 90.00
loop_
_atom_site_label
_atom_site_type_symbol
_atom_site_fract_x
_atom_site_fract_y
_atom_site_fract_z
Ac1 Ac 0.0509 0.2500 0.1992
Ho1 Ho 0.1567 0.2500 0.5864
Ho2 Ho 0.3211 0.7500 0.9995
Ho3 Ho 0.4440 0.2500 0.3363
Te1 Te 0.0860 0.7500 0.4104
Te2 Te 0.1249 0.2500 0.9677
Te3 Te 0.2012 0.7500 0.7496
Te4 Te 0.2703 0.7500 0.2281
Te5 Te 0.3887 0.2500 0.5551
Te6 Te 0.4829 0.2500 0.1153
```

8.
DFT (GGA-PBE) results for crystalline AcHo2Te at its relaxed geometry.

## Properties
Its energy relative to the lowest polymorph listed for this composition is 21 meV/atom. Its uncorrected formation energy is -0.515 eV/atom.

CIF file:
```
data_AcHo2Te
_space_group_name_H-M_alt 'R 3 m'
_space_group_IT_number 160
_space_group_name_Hall 'R 3 -2"'
_cell_length_a 3.9520
_cell_length_b 3.9520
_cell_length_c 30.4935
_cell_angle_alpha 90.00
_cell_angle_beta 90.00
_cell_angle_gamma 120.00
loop_
_atom_site_label
_atom_site_type_symbol
_atom_site_fract_x
_atom_site_fract_y
_atom_site_fract_z
Ac1 Ac 0.0000 0.0000 0.0000
Ho1 Ho 0.0000 0.0000 0.5671
Ho2 Ho 0.0000 0.0000 0.7660
Te1 Te 0.0000 0.0000 0.1665
```

9.
DFT (GGA-PBE) results for crystalline Ac3HoTe4 at its relaxed geometry.

## Properties
Its uncorrected formation energy is -1.406 eV/atom.

CIF file:
```
data_Ac3HoTe4
_space_group_name_H-M_alt 'P 1 2/c 1'
_space_group_IT_number 13
_space_group_name_Hall '-P 2yc'
_cell_length_a 8.2220
_cell_length_b 9.1780
_cell_length_c 7.9085
_cell_angle_alpha 90.00
_cell_angle_beta 108.91
_cell_angle_gamma 90.00
loop_
_atom_site_label
_atom_site_type_symbol
_atom_site_fract_x
_atom_site_fract_y
_atom_site_fract_z
Ac1 Ac 0.0000 0.1222 0.2500
Ac2 Ac 0.0000 0.3732 0.7500
Ac3 Ac 0.5000 0.1265 0.7500
Ho1 Ho 0.5000 0.3756 0.2500
Te1 Te 0.2621 0.1359 0.0126
Te2 Te 0.2692 0.3856 0.4983
```

10.
DFT (GGA-PBE) results for crystalline Ac2HoTe4 at its relaxed geometry.

## Properties
Its energy relative to the lowest polymorph listed for this composition is 93 meV/atom. Its uncorrected formation energy is -1.394 eV/atom.

CIF file:
```
data_Ac2HoTe4
_space_group_name_H-M_alt 'C m c m'
_space_group_IT_number 63
_space_group_name_Hall '-C 2c 2'
_cell_length_a 4.3836
_cell_length_b 15.6423
_cell_length_c 15.6045
_cell_angle_alpha 90.00
_cell_angle_beta 90.00
_cell_angle_gamma 90.00
loop_
_atom_site_label
_atom_site_type_symbol
_atom_site_fract_x
_atom_site_fract_y
_atom_site_fract_z
Ac1 Ac 0.0000 0.1322 0.0765
Ho1 Ho 0.0000 0.3693 0.2500
Te1 Te 0.0000 0.0112 0.2500
Te2 Te 0.0000 0.2134 0.6281
Te3 Te 0.0000 0.5000 0.0000
```

11.
DFT (GGA-PBE) results for crystalline AcHo2Tl3Te6 at its relaxed geometry.

## Properties
Its uncorrected formation energy is -1.071 eV/atom.

CIF file:
```
data_AcHo2Tl3Te6
_space_group_name_H-M_alt 'C 1 2/m 1'
_space_group_IT_number 12
_space_group_name_Hall '-C 2y'
_cell_length_a 7.9153
_cell_length_b 13.6878
_cell_length_c 8.5894
_cell_angle_alpha 90.00
_cell_angle_beta 107.90
_cell_angle_gamma 90.00
loop_
_atom_site_label
_atom_site_type_symbol
_atom_site_fract_x
_atom_site_fract_y
_atom_site_fract_z
Ac1 Ac 0.0000 0.0000 0.0000
Ho1 Ho 0.0000 0.3327 0.0000
Tl1 Tl 0.0000 0.1613 0.5000
Tl2 Tl 0.0000 0.5000 0.5000
Te1 Te 0.2179 0.5000 0.2138
Te2 Te 0.2497 0.1766 0.2186
```

12.
DFT (GGA-PBE) results for crystalline Ac3HoTl4Te8 at its relaxed geometry.

## Properties
Its uncorrected formation energy is -1.110 eV/atom.

CIF file:
```
data_Ac3HoTl4Te8
_space_group_name_H-M_alt 'R -3 m'
_space_group_IT_number 166
_space_group_name_Hall '-R 3 2"'
_cell_length_a 9.4429
_cell_length_b 9.4429
_cell_length_c 24.5086
_cell_angle_alpha 90.00
_cell_angle_beta 90.00
_cell_angle_gamma 120.00
loop_
_atom_site_label
_atom_site_type_symbol
_atom_site_fract_x
_atom_site_fract_y
_atom_site_fract_z
Ac1 Ac 0.0000 0.5000 0.0000
Ho1 Ho 0.0000 0.0000 0.0000
Tl1 Tl 0.0000 0.0000 0.5000
Tl2 Tl 0.0000 0.5000 0.5000
Te1 Te 0.0000 0.0000 0.2562
Te2 Te 0.0181 0.5091 0.7404
```

Question: The lowest uncorrected formation energy belongs to which entry?
Answer: Ac4HoTe7

Copy entry 12 word for word.
DFT (GGA-PBE) results for crystalline Ac3HoTl4Te8 at its relaxed geometry.

## Properties
Its uncorrected formation energy is -1.110 eV/atom.

CIF file:
```
data_Ac3HoTl4Te8
_space_group_name_H-M_alt 'R -3 m'
_space_group_IT_number 166
_space_group_name_Hall '-R 3 2"'
_cell_length_a 9.4429
_cell_length_b 9.4429
_cell_length_c 24.5086
_cell_angle_alpha 90.00
_cell_angle_beta 90.00
_cell_angle_gamma 120.00
loop_
_atom_site_label
_atom_site_type_symbol
_atom_site_fract_x
_atom_site_fract_y
_atom_site_fract_z
Ac1 Ac 0.0000 0.5000 0.0000
Ho1 Ho 0.0000 0.0000 0.0000
Tl1 Tl 0.0000 0.0000 0.5000
Tl2 Tl 0.0000 0.5000 0.5000
Te1 Te 0.0000 0.0000 0.2562
Te2 Te 0.0181 0.5091 0.7404
```

What did the second record say?
DFT (GGA-PBE) results for crystalline Ac4HoTe7 at its relaxed geometry.

## Properties
Its uncorrected formation energy is -1.527 eV/atom.

CIF file:
```
data_Ac4HoTe7
_space_group_name_H-M_alt 'C 1 m 1'
_space_group_IT_number 8
_space_group_name_Hall 'C -2y'
_cell_length_a 15.3806
_cell_length_b 4.5607
_cell_length_c 13.5573
_cell_angle_alpha 90.00
_cell_angle_beta 104.95
_cell_angle_gamma 90.00
loop_
_atom_site_label
_atom_site_type_symbol
_atom_site_fract_x
_atom_site_fract_y
_atom_site_fract_z
Ac1 Ac 0.0000 0.0000 0.0000
Ac2 Ac 0.1000 0.0000 0.4485
Ac3 Ac 0.2014 0.5000 0.8213
Ac4 Ac 0.3049 0.0000 0.2179
Ho1 Ho 0.3730 0.5000 0.5809
Te1 Te 0.0339 0.0000 0.7692
Te2 Te 0.1622 0.5000 0.0639
Te3 Te 0.2285 0.5000 0.3716
Te4 Te 0.2696 0.0000 0.6628
Te5 Te 0.3383 0.0000 0.9660
Te6 Te 0.4571 0.0000 0.4858
Te7 Te 0.4619 0.5000 0.2246
```